Entry 1:
Here is La9NdY2 after structural relaxation from the Alexandria database. Energies are from PBE.

Results
* theoretical density: 6.1 g cm⁻³
* space group: P4/mmm
* total DFT energy (no corrections): -5.164 eV per atom

Cell lengths 5.225, 5.225, 15.691 Å; angles 90.00, 90.00, 90.00 degrees
Sites, in units of the cell vectors:
La  0.500  0.500  0.666
La  0.000  0.500  0.832
Nd  0.000  0.000  0.000
La  0.500  0.000  0.832
Y  0.000  0.000  0.666
La  0.500  0.500  0.334
Y  0.000  0.000  0.334
La  0.000  0.500  0.168
La  0.500  0.500  0.000
La  0.500  0.000  0.500
La  0.000  0.500  0.500
La  0.500  0.000  0.168

---

Entry 2:
Here is In4HgBi2 after structural relaxation from the Alexandria database. Energies are from PBE.

Results
* theoretical density: 8.2 g cm⁻³
* space group: Pnma
* total DFT energy (no corrections): -2.700 eV per atom

Cell lengths 4.990, 7.361, 23.635 Å; angles 90.00, 90.01, 90.00 degrees
Sites, in units of the cell vectors:
In  0.750  0.015  0.072
Bi  0.750  0.250  0.956
In  0.250  0.228  0.678
In  0.750  0.728  0.822
In  0.750  0.485  0.573
Bi  0.250  0.750  0.544
In  0.750  0.772  0.322
Bi  0.750  0.015  0.207
Hg  0.250  0.491  0.871
In  0.250  0.186  0.543
In  0.750  0.814  0.457
In  0.250  0.985  0.928
Bi  0.750  0.485  0.707
Bi  0.250  0.985  0.793
In  0.250  0.515  0.427
In  0.750  0.253  0.319
In  0.250  0.314  0.042
Bi  0.250  0.515  0.293
In  0.750  0.247  0.819
In  0.250  0.272  0.178
In  0.250  0.747  0.681
In  0.750  0.686  0.958
Hg  0.750  0.991  0.629
Bi  0.750  0.250  0.456
Hg  0.250  0.009  0.371
In  0.250  0.753  0.181
Bi  0.250  0.750  0.044
Hg  0.750  0.509  0.129

---

Entry 3:
Here is Li4SmHo after structural relaxation from the Alexandria database. Energies are from PBE.

Results
* theoretical density: 4.0 g cm⁻³
* space group: F-43m
* total DFT energy (no corrections): -2.711 eV per atom

Cell lengths 5.860, 5.860, 5.860 Å; angles 60.00, 60.00, 60.00 degrees
Sites, in units of the cell vectors:
Li  0.126  0.625  0.625
Ho  0.250  0.250  0.250
Li  0.625  0.625  0.625
Sm  0.000  0.000  0.000
Li  0.625  0.126  0.625
Li  0.625  0.625  0.126